(1)
A relaxed structure of YMg6W, computed with PBE.

a = 5.057 Å, b = 6.516 Å, c = 6.516 Å
α = 55.50°, β = 90.00°, γ = 90.00°
Element x y z (fractional)
1 Y 0.000 0.000 0.000
2 Mg 0.000 0.499 0.998
3 Mg 0.000 0.998 0.499
4 Mg 0.500 0.163 0.163
5 Mg 0.500 0.174 0.643
6 Mg 0.500 0.635 0.635
7 Mg 0.500 0.643 0.174
8 W 0.000 0.490 0.490

Results
offset from the most stable computed form	0.025	eV/atom
energy of formation	0.30	eV per atom
crystal system	orthorhombic

=====

(2)
A relaxed structure of Ac2DyI2N2, computed with PBE.

a = 10.198 Å, b = 10.198 Å, c = 10.198 Å
α = 153.89°, β = 153.89°, γ = 37.26°
Element x y z (fractional)
1 Ac 0.083 0.083 0.000
2 Ac 0.917 0.917 0.000
3 Dy 0.500 0.500 0.000
4 I 0.331 0.331 0.000
5 I 0.669 0.669 0.000
6 N 0.000 0.500 0.500
7 N 0.500 0.000 0.500

Results
crystal system	tetragonal
formation energy without anion corrections	-8.9	eV/f.u.

=====

(3)
A relaxed structure of Tb2Tm2Sb2C, computed with PBE.

a = 8.594 Å, b = 8.594 Å, c = 8.594 Å
α = 148.19°, β = 148.19°, γ = 45.61°
Element x y z (fractional)
1 Tb 0.159 0.159 0.000
2 Tb 0.841 0.841 0.000
3 Tm 0.000 0.500 0.500
4 Tm 0.500 0.000 0.500
5 Sb 0.360 0.360 0.000
6 Sb 0.640 0.640 0.000
7 C 0.000 0.000 0.000

Results
crystal system	tetragonal
formation energy without anion corrections	-5.8	eV/f.u.

=====

(4)
A relaxed structure of CuPt3Pb, computed with PBE.

a = 4.675 Å, b = 4.675 Å, c = 4.675 Å
α = 90.00°, β = 90.00°, γ = 90.00°
Element x y z (fractional)
1 Cu 0.000 0.000 0.000
2 Pt 0.000 0.000 0.500
3 Pt 0.000 0.500 0.000
4 Pt 0.500 0.000 0.000
5 Pb 0.500 0.500 0.500

Results
offset from the most stable computed form	0.000	eV/atom
energy of formation	0.60	eV per atom
crystal system	cubic

=====

(5)
A relaxed structure of MgCd2SbPd, computed with PBE.

a = 5.600 Å, b = 5.600 Å, c = 5.029 Å
α = 90.00°, β = 90.00°, γ = 90.00°
Element x y z (fractional)
1 Mg 0.000 0.000 0.000
2 Cd 0.000 0.500 0.500
3 Cd 0.500 0.000 0.500
4 Sb 0.500 0.500 0.500
5 Pd 0.500 0.500 0.000

Results
crystal system	tetragonal
formation energy without anion corrections	1.7	eV/f.u.

=====

(6)
A relaxed structure of Tb3CeC, computed with PBE.

a = 5.074 Å, b = 5.074 Å, c = 5.074 Å
α = 90.00°, β = 90.00°, γ = 90.00°
Element x y z (fractional)
1 Tb 0.000 0.000 0.500
2 Tb 0.000 0.500 0.000
3 Tb 0.500 0.000 0.000
4 Ce 0.500 0.500 0.500
5 C 0.000 0.000 0.000

Results
energy of formation	0.10	eV per atom
crystal system	cubic

=====

(7)
A relaxed structure of DyCo2AsC, computed with PBE.

a = 5.689 Å, b = 5.689 Å, c = 6.797 Å
α = 90.00°, β = 90.00°, γ = 141.58°
Element x y z (fractional)
1 Dy 0.045 0.955 0.750
2 Dy 0.955 0.045 0.250
3 Co 0.340 0.660 0.555
4 Co 0.340 0.660 0.945
5 Co 0.660 0.340 0.055
6 Co 0.660 0.340 0.445
7 As 0.231 0.769 0.250
8 As 0.769 0.231 0.750
9 C 0.500 0.500 0.000
10 C 0.500 0.500 0.500

Results
energy of formation	-0.53	eV per atom
crystal system	orthorhombic

=====

(8)
A relaxed structure of Pr2Ho4Tl, computed with PBE.

a = 5.832 Å, b = 6.703 Å, c = 11.579 Å
α = 90.00°, β = 103.41°, γ = 90.00°
Element x y z (fractional)
1 Pr 0.034 0.250 0.474
2 Pr 0.337 0.750 0.073
3 Pr 0.663 0.250 0.927
4 Pr 0.966 0.750 0.526
5 Ho 0.158 0.008 0.787
6 Ho 0.158 0.492 0.787
7 Ho 0.213 0.250 0.067
8 Ho 0.396 0.750 0.370
9 Ho 0.604 0.250 0.630
10 Ho 0.787 0.750 0.933
11 Ho 0.842 0.508 0.213
12 Ho 0.842 0.992 0.213
13 Tl 0.464 0.250 0.337
14 Tl 0.536 0.750 0.663

Results
energy of formation	0.00	eV per atom
crystal system	monoclinic

=====

(9)
A relaxed structure of Y5Tc3, computed with PBE.

a = 8.399 Å, b = 8.399 Å, c = 5.851 Å
α = 107.84°, β = 107.84°, γ = 84.87°
Element x y z (fractional)
1 Y 0.003 0.997 0.750
2 Y 0.200 0.629 0.931
3 Y 0.210 0.365 0.311
4 Y 0.365 0.210 0.811
5 Y 0.371 0.800 0.569
6 Y 0.629 0.200 0.431
7 Y 0.635 0.790 0.189
8 Y 0.790 0.635 0.689
9 Y 0.800 0.371 0.069
10 Y 0.997 0.003 0.250
11 Tc 0.009 0.675 0.390
12 Tc 0.325 0.991 0.110
13 Tc 0.500 0.500 0.250
14 Tc 0.500 0.500 0.750
15 Tc 0.675 0.009 0.890
16 Tc 0.991 0.325 0.610

Results
offset from the most stable computed form	0.043	eV/atom
energy of formation	0.11	eV per atom
crystal system	monoclinic

=====

(10)
A relaxed structure of ZnFe3Ir4, computed with PBE.

a = 8.649 Å, b = 5.533 Å, c = 4.500 Å
α = 90.00°, β = 90.00°, γ = 90.00°
Element x y z (fractional)
1 Zn 0.000 0.000 0.000
2 Zn 0.500 0.000 0.000
3 Fe 0.000 0.500 0.000
4 Fe 0.250 0.000 0.358
5 Fe 0.250 0.500 0.347
6 Fe 0.500 0.500 0.000
7 Fe 0.750 0.000 0.642
8 Fe 0.750 0.500 0.653
9 Ir 0.000 0.255 0.500
10 Ir 0.000 0.745 0.500
11 Ir 0.250 0.251 0.857
12 Ir 0.250 0.749 0.857
13 Ir 0.500 0.255 0.500
14 Ir 0.500 0.745 0.500
15 Ir 0.750 0.251 0.143
16 Ir 0.750 0.749 0.143

Results
energy of formation	-0.02	eV per atom
crystal system	orthorhombic

=====

(11)
A relaxed structure of HfMoRu2, computed with PBE.

a = 3.077 Å, b = 3.077 Å, c = 6.761 Å
α = 90.00°, β = 90.00°, γ = 90.00°
Element x y z (fractional)
1 Hf 0.000 0.000 0.000
2 Mo 0.000 0.000 0.500
3 Ru 0.500 0.500 0.248
4 Ru 0.500 0.500 0.752

Results
offset from the most stable computed form	0.000	eV/atom
energy of formation	-0.22	eV per atom
crystal system	tetragonal

=====

(12)
A relaxed structure of Ho2AlCu, computed with PBE.

a = 10.304 Å, b = 10.304 Å, c = 10.304 Å
α = 18.90°, β = 18.90°, γ = 18.90°
Element x y z (fractional)
1 Ho 0.091 0.091 0.091
2 Ho 0.909 0.909 0.909
3 Al 0.500 0.500 0.500
4 Cu 0.000 0.000 0.000

Results
energy of formation	0.31	eV per atom
crystal system	trigonal